NaCd2Fe PBE relaxed; raw total energy = -18.30 eV for the cell shown; space-group type = No. 122; total magnetization = 2.9 μB per formula unit
1.0
-2.1414 2.1414 9.9172
2.1414 -2.1414 9.9172
2.1414 2.1414 -9.9172
Na Cd Fe
2 4 2
direct
0.0000 0.0000 0.0000
0.7500 0.2500 0.5000
0.1460 0.6250 0.0210
0.3750 0.3960 0.5210
0.6040 0.1250 0.9790
0.8750 0.8540 0.4790
0.2500 0.7500 0.5000
0.5000 0.5000 0.0000